LaCe2Co | GGA-PBE | relaxed

Cell lengths 3.6295, 3.6295, 9.9982 Å; angles 79.54, 79.54, 60.00 degrees
With the nearest neighbours (Å) after each atom.
Sites, in units of the cell vectors:
Co: 0.5000 0.5000 0.5000  6 Ce 2.65
Ce: 0.1113 0.1113 0.6661  3 Co 2.65
Ce: 0.8887 0.8887 0.3339  3 Co 2.65
La: 0.0000 0.0000 0.0000  2 Ce 3.26, 6 La 3.63

total magnetization	0.22	μB/atom
D(E_F)	10.23	states/eV/f.u.
ΔH_f (0 K)	0.098	eV per atom
symmetry	R-3m (166)
calculated volume	112	Å³/cell

CsGeSe2 | GGA-PBE | relaxed

Cell lengths 6.9072, 8.0072, 7.0430 Å; angles 105.52, 70.52, 68.17 degrees
With the nearest neighbours (Å) after each atom.
Sites, in units of the cell vectors:
Cs: 0.4173 0.4823 0.6597  6 Se 3.66-4.05, 1 Ge 3.84
Cs: 0.8764 0.7246 0.4046  5 Se 3.63-3.90, 1 Ge 4.00
Ge: 0.2085 0.9857 0.1352  3 Se 2.50-2.54
Ge: 0.9647 0.1620 0.7886  3 Se 2.50-2.58
Se: 0.6032 0.5089 0.0936  1 Se 2.41, 1 Ge 2.58
Se: 0.2818 0.1569 0.8921  2 Ge 2.50-2.52
Se: 0.6472 0.7714 0.0136  1 Se 2.41, 1 Ge 2.54
Se: 0.0667 0.2777 0.4929  2 Ge 2.50

total magnetization	0.00	μB/atom
D(E_F)	0.00	states/eV/f.u.
ΔE_f (raw)	-646	meV per atom
symmetry	P1 (1)
calculated volume	305	Å³/cell

Fe3BrCl12 | GGA-PBE | relaxed

Cell lengths 12.4898, 12.4898, 12.1052 Å; angles 58.94, 58.94, 60.00 degrees
With the nearest neighbours (Å) after each atom.
Sites, in units of the cell vectors:
Fe: 0.6462 0.3675 0.9962  4 Cl 2.13-2.15
Fe: 0.1462 0.4901 0.4962  4 Cl 2.13-2.15
Fe: 0.8675 0.1462 0.4962  4 Cl 2.13-2.15
Fe: 0.3675 0.9901 0.9962  4 Cl 2.13-2.15
Fe: 0.9901 0.6462 0.9962  4 Cl 2.13-2.15
Fe: 0.4901 0.8675 0.4962  4 Cl 2.13-2.15
Br: 0.0636 0.0636 0.8092  3 Cl 2.83
Br: 0.5636 0.5636 0.3092  3 Cl 2.83
Cl: 0.1705 0.0087 0.0416  1 Fe 2.14
Cl: 0.1102 0.3091 0.6527  1 Fe 2.15
Cl: 0.8874 0.9590 0.5139  1 Fe 2.13
Cl: 0.7226 0.4991 0.7966  1 Fe 2.13
Cl: 0.2226 0.4817 0.2966  1 Fe 2.13
Cl: 0.3874 0.1396 0.0139  1 Fe 2.13
Cl: 0.6102 0.4279 0.1527  1 Fe 2.15
Cl: 0.9590 0.6396 0.5139  1 Fe 2.13
Cl: 0.6705 0.2792 0.5416  1 Fe 2.14
Cl: 0.9279 0.1102 0.6527  1 Fe 2.15
Cl: 0.9991 0.2226 0.2966  1 Fe 2.13
Cl: 0.2792 0.5087 0.5416  1 Fe 2.14
Cl: 0.1396 0.4590 0.0139  1 Fe 2.13
Cl: 0.7792 0.1705 0.0416  1 Fe 2.14
Cl: 0.4991 0.9817 0.7966  1 Fe 2.13
Cl: 0.4279 0.8091 0.1527  1 Fe 2.15
Cl: 0.8091 0.6102 0.1527  1 Fe 2.15
Cl: 0.4590 0.3874 0.0139  1 Fe 2.13
Cl: 0.5087 0.6705 0.5416  1 Fe 2.14
Cl: 0.9817 0.7226 0.7966  1 Fe 2.13
Cl: 0.4817 0.9991 0.2966  1 Fe 2.13
Cl: 0.0087 0.7792 0.0416  1 Fe 2.14
Cl: 0.3091 0.9279 0.6527  1 Fe 2.15
Cl: 0.6396 0.8874 0.5139  1 Fe 2.13

total magnetization	0.69	μB/atom
D(E_F)	8.65	states/eV/f.u.
ΔE_f (raw)	-494	meV per atom
symmetry	R3c (161)
calculated volume	1314	Å³/cell

Ca4SmY3Te8 | GGA-PBE | relaxed

Cell lengths 8.8097, 8.9503, 8.8101 Å; angles 119.48, 120.00, 90.00 degrees
With the nearest neighbours (Å) after each atom.
Sites, in units of the cell vectors:
Ca: 0.5000 0.0000 0.0000  6 Te 3.13
Ca: 0.5000 0.0000 0.5000  6 Te 3.16
Ca: 0.0000 0.0000 0.0000  6 Te 3.16
Ca: 0.0000 0.0000 0.5000  6 Te 3.16
Sm: 0.0000 0.5000 0.0000  6 Te 3.15
Y: 0.5000 0.5000 0.0000  6 Te 3.12
Y: 0.5000 0.5000 0.5000  6 Te 3.12
Y: 0.0000 0.5000 0.5000  6 Te 3.12
Te: 0.2508 0.7477 0.9968  2 Y 3.12, 3 Ca 3.13-3.16, 1 Sm 3.15
Te: 0.2510 0.7477 0.5020  2 Y 3.12, 3 Ca 3.13-3.16, 1 Sm 3.15
Te: 0.2516 0.2546 0.5033  3 Y 3.12, 3 Ca 3.16
Te: 0.7460 0.7477 0.9968  2 Y 3.12, 3 Ca 3.13-3.16, 1 Sm 3.15
Te: 0.2540 0.2523 0.0032  2 Y 3.12, 3 Ca 3.13-3.16, 1 Sm 3.15
Te: 0.7484 0.7454 0.4967  3 Y 3.12, 3 Ca 3.16
Te: 0.7490 0.2523 0.4980  2 Y 3.12, 3 Ca 3.13-3.16, 1 Sm 3.15
Te: 0.7492 0.2523 0.0032  2 Y 3.12, 3 Ca 3.13-3.16, 1 Sm 3.15

total magnetization	0.00	μB/atom
D(E_F)	6.23	states/eV/f.u.
ΔE_f (raw)	-1477	meV per atom
symmetry	R-3m (166)
calculated volume	495	Å³/cell